A plane-wave DFT calculation with PBE was carried out for a relaxed structure of CeNi.

Geometry as POSCAR:
```
CeNi
1.0
-2.162 0.131 -2.868
-3.211 -1.389 2.357
-0.227 5.005 2.641
Ni Ce
2 2
Cartesian
-2.092 0.530 -0.651
-3.507 3.216 2.780
-2.834 3.400 0.030
-2.765 0.346 2.099
```

Calculated values
Energy of formation from the pure elements ... -0.314 eV per atom
Electronic total energy ... -6.171 eV per atom
Space-group type ... P2_1/m, No. 11
Density ... 8.11 g/cm3